The following is a DFT calculation (PBE-GGA) of crystalline Tb4Nd2ErTm at its relaxed geometry.

```
Tb4Nd2ErTm
1.0
9.361 -0.018 -1.723
-0.025 9.361 -1.723
-5.954 -5.958 8.300
Er Tb Nd Tm
2 8 4 2
Cartesian
6.371 1.683 1.566
-0.012 4.680 -0.861
-0.612 3.979 2.422
2.283 2.335 -0.827
3.993 -0.594 2.433
-0.642 -0.592 3.254
1.099 1.049 5.681
4.024 3.976 1.600
7.072 2.283 -1.717
-3.690 1.102 6.572
4.680 -0.009 -0.861
4.668 4.671 -1.723
1.703 -2.988 3.289
-2.977 -2.979 4.150
1.691 1.692 2.427
3.407 -5.976 6.577
```

Results
Calculated formation energy   40.56 kJ per mole of atoms
Space group   Imma, No. 74

The following is a DFT calculation (PBE-GGA) of crystalline Tb4Nd2Er2Tm at its relaxed geometry.

```
Tb4Nd2Er2Tm
1.0
-2.294 -1.446 5.547
1.125 -8.477 3.997
6.337 4.417 -1.957
Tb Er Nd Tm
4 2 2 1
Cartesian
2.750 -0.061 2.266
4.551 2.175 0.146
2.419 -5.446 5.321
0.618 -7.682 7.441
6.014 -0.941 1.099
-0.845 -4.565 6.488
4.220 -3.190 3.198
0.949 -2.317 4.389
0.000 0.000 0.000
```

Results
Calculated formation energy   1.70 kJ per mole of atoms
Space group   P-1, No. 2

The following is a DFT calculation (PBE-GGA) of crystalline TbNd6ErTm2 at its relaxed geometry.

```
TbNd6ErTm2
1.0
-7.127 2.704 5.842
0.715 -8.110 3.673
5.574 6.343 2.910
Nd Tb Tm Er
12 2 4 2
Cartesian
0.922 -4.428 6.747
-0.892 -4.006 3.180
3.950 4.054 2.963
-1.759 5.365 5.678
2.386 -2.323 4.701
-4.787 -3.117 9.462
-0.726 -1.263 4.970
-0.112 2.200 7.455
-2.762 -3.960 6.378
-3.223 3.260 7.724
0.054 4.943 9.245
1.925 4.897 6.046
0.089 7.953 7.314
-0.926 -7.016 5.111
1.256 -0.799 7.618
-1.838 1.949 10.465
-2.093 1.737 4.807
1.001 -1.012 1.960
1.793 1.071 4.684
-2.630 -0.133 7.740
```

Results
Calculated formation energy   11.22 kJ per mole of atoms
Space group   C2/c, No. 15

The following is a DFT calculation (PBE-GGA) of crystalline Tb2NdEr2Tm2 at its relaxed geometry.

```
Tb2NdEr2Tm2
1.0
-0.752 0.010 -5.795
4.695 -1.821 2.333
-8.040 -5.348 1.034
Er Tb Tm Nd
2 2 2 1
Cartesian
-2.613 -2.118 -2.611
-1.484 -5.041 0.184
-3.599 -5.481 -2.489
-0.498 -1.678 0.062
-5.020 -6.037 0.641
0.923 -1.122 -3.068
-4.020 -2.674 0.517
```

Results
Calculated formation energy   11.78 kJ per mole of atoms
Space group   C2/m, No. 12

For each record above, in turn, the calculated total magnetization values are 4.610; 0.000; 0.000; 0.000 μB per cell.
For each record above, in turn, the calculated mass density values are 7.83; 8.22; 7.53; 8.48 g cm⁻³.